No. 1
AlCuCl3 after structural relaxation. Source: Alexandria via LeMat-Bulk, functional GGA-PBE.

abc: 4.769 4.769 4.769
angles: 90.00 90.00 90.00
Fractional coordinates of all 5 atoms:
Al  0.000  0.000  0.000
Cu  0.500  0.500  0.500
Cl  0.000  0.000  0.500
Cl  0.000  0.500  0.000
Cl  0.500  0.000  0.000

Values from the calculation:
Energy (eV/atom): -3.08
N(E_F) (states/eV/cell): 2.13

No. 2
AlCu2Cl8 after structural relaxation. Source: Alexandria via LeMat-Bulk, functional GGA-PBE.

abc: 7.260 7.260 6.214
angles: 96.30 96.30 90.89
Fractional coordinates of all 11 atoms:
Al  0.000  0.000  0.000
Cu  0.151  0.151  0.497
Cu  0.849  0.849  0.503
Cl  0.066  0.753  0.753
Cl  0.205  0.205  0.850
Cl  0.247  0.934  0.247
Cl  0.428  0.428  0.371
Cl  0.572  0.572  0.629
Cl  0.753  0.066  0.753
Cl  0.795  0.795  0.150
Cl  0.934  0.247  0.247

Values from the calculation:
Energy (eV/atom): -3.16
N(E_F) (states/eV/cell): 5.29

No. 3
AlCu2Cl after structural relaxation. Source: Alexandria via LeMat-Bulk, functional GGA-PBE.

abc: 2.966 2.966 6.967
angles: 90.00 90.00 90.00
Fractional coordinates of all 4 atoms:
Al  0.000  0.000  0.000
Cu  0.500  0.500  0.228
Cu  0.500  0.500  0.772
Cl  0.000  0.000  0.500

Values from the calculation:
Energy (eV/atom): -3.40
N(E_F) (states/eV/cell): 1.91

No. 4
AlCu2Cl after structural relaxation. Source: Alexandria via LeMat-Bulk, functional GGA-PBE.

abc: 4.748 4.748 3.008
angles: 90.11 90.11 116.00
Fractional coordinates of all 4 atoms:
Al  0.000  0.000  0.000
Cu  0.000  0.500  0.500
Cu  0.500  0.000  0.500
Cl  0.500  0.500  0.000

Values from the calculation:
Energy (eV/atom): -3.33
N(E_F) (states/eV/cell): 0.81

No. 5
AlCu3Cl2F6 after structural relaxation. Source: Alexandria via LeMat-Bulk, functional GGA-PBE.

abc: 6.621 6.621 4.811
angles: 90.38 90.38 52.13
Fractional coordinates of all 12 atoms:
Al  0.000  0.000  0.000
Cu  0.000  0.500  0.000
Cu  0.500  0.000  0.000
Cu  0.500  0.500  0.500
Cl  0.310  0.310  0.322
Cl  0.690  0.690  0.678
F  0.143  0.143  0.840
F  0.176  0.721  0.767
F  0.279  0.824  0.233
F  0.721  0.176  0.767
F  0.824  0.279  0.233
F  0.857  0.857  0.160

Values from the calculation:
Energy (eV/atom): -4.39
N(E_F) (states/eV/cell): 8.32

No. 6
AlCuH28S2ClO22 after structural relaxation. Source: Alexandria via LeMat-Bulk, functional GGA-PBE.

abc: 6.268 6.303 13.442
angles: 82.47 88.77 85.37
Fractional coordinates of all 55 atoms:
Al  0.000  0.000  0.000
Cu  0.500  0.000  0.500
H  0.033  0.624  0.102
H  0.081  0.990  0.191
H  0.105  0.131  0.682
H  0.126  0.734  0.316
H  0.140  0.218  0.456
H  0.150  0.013  0.391
H  0.151  0.216  0.131
H  0.225  0.300  0.908
H  0.286  0.653  0.529
H  0.325  0.811  0.913
H  0.373  0.800  0.031
H  0.408  0.966  0.721
H  0.442  0.215  0.691
H  0.487  0.617  0.604
H  0.513  0.383  0.396
H  0.558  0.785  0.309
H  0.592  0.034  0.279
H  0.627  0.200  0.969
H  0.675  0.189  0.087
H  0.714  0.347  0.471
H  0.775  0.700  0.092
H  0.849  0.784  0.869
H  0.850  0.987  0.609
H  0.860  0.782  0.544
H  0.874  0.266  0.684
H  0.895  0.869  0.318
H  0.919  0.010  0.809
H  0.967  0.376  0.898
S  0.436  0.482  0.190
S  0.564  0.518  0.810
Cl  0.000  0.500  0.500
O  0.054  0.879  0.303
O  0.077  0.267  0.931
O  0.101  0.073  0.122
O  0.212  0.075  0.448
O  0.217  0.448  0.156
O  0.280  0.874  0.975
O  0.366  0.094  0.672
O  0.420  0.551  0.292
O  0.423  0.720  0.808
O  0.428  0.702  0.541
O  0.475  0.344  0.882
O  0.525  0.656  0.118
O  0.572  0.298  0.459
O  0.577  0.280  0.192
O  0.580  0.449  0.708
O  0.634  0.906  0.328
O  0.720  0.126  0.025
O  0.783  0.552  0.844
O  0.788  0.925  0.552
O  0.899  0.927  0.878
O  0.923  0.733  0.069
O  0.946  0.121  0.697

Values from the calculation:
Energy (eV/atom): -5.19

No. 7
Al2InCuCl8 after structural relaxation. Source: Alexandria via LeMat-Bulk, functional GGA-PBE.

abc: 7.014 7.014 8.622
angles: 90.00 90.00 120.00
Fractional coordinates of all 12 atoms:
Al  0.333  0.667  0.232
Al  0.667  0.333  0.768
In  0.000  0.000  0.000
Cu  0.000  0.000  0.500
Cl  0.164  0.329  0.314
Cl  0.164  0.836  0.314
Cl  0.329  0.164  0.686
Cl  0.333  0.667  0.984
Cl  0.667  0.333  0.016
Cl  0.671  0.836  0.314
Cl  0.836  0.164  0.686
Cl  0.836  0.671  0.686

Values from the calculation:
Energy (eV/atom): -3.61
N(E_F) (states/eV/cell): 0.00

No. 8
AlCuIrCl2 after structural relaxation. Source: Alexandria via LeMat-Bulk, functional GGA-PBE.

abc: 4.864 4.864 4.848
angles: 90.00 90.00 90.00
Fractional coordinates of all 5 atoms:
Al  0.000  0.000  0.000
Cu  0.500  0.500  0.000
Ir  0.000  0.000  0.500
Cl  0.000  0.500  0.500
Cl  0.500  0.000  0.500

Values from the calculation:
Energy (eV/atom): -3.55
N(E_F) (states/eV/cell): 4.38

energy of number 3 (AlCu2Cl)? -3.40 eV/atom

Look up the energy of the seventh one. -3.61 eV/atom

Look up the energy of the eighth one. -3.55 eV/atom